V5Ga2H2: relaxed, PBE.

Cell: 4.8609 4.8609 7.0532 Å, 94.69 94.69 38.07°
Fractional coordinates of all 9 atoms:
V 0.0000 0.0000 0.0000
V 0.1547 0.1547 0.4303
V 0.2978 0.2978 0.8400
V 0.7022 0.7022 0.1600
V 0.8453 0.8453 0.5697
Ga 0.4292 0.4292 0.2890
Ga 0.5708 0.5708 0.7110
H 0.1885 0.1885 0.0402
H 0.8115 0.8115 0.9598

## Properties
- Mass density: 6.43 g cm⁻³
- Crystal system: monoclinic
- Distance to the lowest polymorph of the same formula: 0.00 eV/f.u.
- Space group: No. 12



V2GaH: relaxed, PBE.

Cell: 4.0910 4.0910 4.0910 Å, 60.00 60.00 60.00°
Fractional coordinates of all 4 atoms:
V 0.2500 0.2500 0.2500
V 0.7500 0.7500 0.7500
Ga 0.0000 0.0000 0.0000
H 0.5000 0.5000 0.5000

## Properties
- Mass density: 5.92 g cm⁻³
- Crystal system: cubic
- Distance to the lowest polymorph of the same formula: 2.79 eV/f.u.
- Space group: No. 225



V2GaH: relaxed, PBE.

Cell: 6.3166 6.3166 6.3166 Å, 27.18 27.18 27.18°
Fractional coordinates of all 4 atoms:
V 0.2155 0.2155 0.2155
V 0.7845 0.7845 0.7845
Ga 0.0000 0.0000 0.0000
H 0.5000 0.5000 0.5000

## Properties
- Mass density: 6.18 g cm⁻³
- Crystal system: trigonal
- Distance to the lowest polymorph of the same formula: 0.71 eV/f.u.
- Space group: No. 166



V3GaH: relaxed, PBE.

Cell: 3.3531 3.3531 6.7414 Å, 90.00 90.00 90.00°
Fractional coordinates of all 5 atoms:
V 0.0000 0.0000 0.0000
V 0.0000 0.5000 0.7235
V 0.5000 0.0000 0.7235
Ga 0.0000 0.0000 0.3858
H 0.5000 0.5000 0.8929

## Properties
- Mass density: 4.90 g cm⁻³
- Total energy: -31.2 eV per cell
- Crystal system: tetragonal
- Space group: No. 99